Material: TbNp2Ir9
Method: DFT, PBE-GGA
State: optimized geometry

abc: 9.2941 9.2941 9.2941
angles: 33.05 33.05 33.05
Last column: nearest neighbours and their distance in Å.
Sites, in units of the cell vectors:
1 Tb 0.0000 0.0000 0.0000  6 Ir 3.05
2 Np 0.1403 0.1403 0.1403  12 Ir 3.04-3.26, 3 Np 3.35
3 Np 0.8597 0.8597 0.8597  12 Ir 3.04-3.26, 3 Np 3.35
4 Ir 0.0809 0.5845 0.5845  7 Ir 2.62-2.68
5 Ir 0.3331 0.3331 0.3331  6 Ir 2.66-2.68
6 Ir 0.4155 0.4155 0.9191  7 Ir 2.62-2.68
7 Ir 0.4155 0.9191 0.4155  7 Ir 2.62-2.68
8 Ir 0.5000 0.5000 0.5000  6 Ir 2.68
9 Ir 0.5845 0.0809 0.5845  7 Ir 2.62-2.68
10 Ir 0.5845 0.5845 0.0809  7 Ir 2.62-2.68
11 Ir 0.6669 0.6669 0.6669  6 Ir 2.66-2.68
12 Ir 0.9191 0.4155 0.4155  7 Ir 2.62-2.68

Summary:
Final energy ... -9.59 eV/atom
Energy of formation ... -406 meV/atom